No. 1
{
  "formula": "Li2CdMo",
  "functional": "PBE",
  "state": "optimized geometry",
  "cell": [[4.817, -0.115, 0.000], [1.128, 4.684, 0.000], [-2.972, -2.284, 3.027]],
  "species": ["Cd", "Li", "Li", "Mo"],
  "frac_coords": [[0.750, 0.250, 0.500], [0.000, 0.000, 0.000], [0.250, 0.750, 0.500], [0.500, 0.500, 0.000]],
  "space_group": "I-4m2, No. 119",
  "delta_e_f_ev_per_fu": 2.13
}

No. 2
{
  "formula": "LiCdMo3",
  "functional": "PBE",
  "state": "optimized geometry",
  "cell": [[4.930, 0.000, 0.000], [0.000, 4.930, 0.000], [0.000, 0.000, 4.930]],
  "species": ["Mo", "Mo", "Mo", "Li", "Cd"],
  "frac_coords": [[0.000, 0.500, 0.000], [0.000, 0.000, 0.500], [0.500, 0.000, 0.000], [0.500, 0.500, 0.500], [0.000, 0.000, 0.000]],
  "space_group": "Pm-3m, No. 221",
  "e_above_lowest_polymorph_mev_per_atom": 1264.9,
  "delta_e_f_ev_per_fu": 12.66
}

No. 3
{
  "formula": "Li2CdMo",
  "functional": "PBE",
  "state": "optimized geometry",
  "cell": [[-1.612, 0.136, -2.141], [0.406, -2.610, -0.471], [-7.330, -2.112, 5.382]],
  "species": ["Cd", "Li", "Li", "Mo"],
  "frac_coords": [[0.500, 0.500, 0.750], [0.000, 0.000, 0.007], [0.000, 0.000, 0.493], [0.500, 0.500, 0.250]],
  "space_group": "P4/mmm, No. 123",
  "delta_e_f_ev_per_fu": 0.91
}

No. 4
{
  "formula": "Li2CdMo",
  "functional": "PBE",
  "state": "optimized geometry",
  "cell": [[-6.680, -1.256, 1.574], [-0.011, -5.430, -4.380], [-2.548, -5.004, 0.654]],
  "species": ["Mo", "Mo", "Li", "Li", "Li", "Li", "Cd", "Cd"],
  "frac_coords": [[0.500, 0.500, 0.000], [0.250, 0.750, 0.500], [0.633, 0.125, 0.250], [0.117, 0.625, 0.250], [0.375, 0.367, 0.750], [0.875, 0.883, 0.750], [0.000, 0.000, 0.000], [0.750, 0.250, 0.500]],
  "space_group": "I-42d, No. 122",
  "delta_e_f_ev_per_fu": 3.20
}

No. 5
{
  "formula": "LiCdMo2",
  "functional": "PBE",
  "state": "optimized geometry",
  "cell": [[4.363, 0.000, 0.000], [0.000, 2.680, 0.016], [0.000, 0.926, 5.683]],
  "species": ["Cd", "Li", "Mo", "Mo"],
  "frac_coords": [[0.000, 0.549, 0.521], [0.500, 0.782, 0.750], [0.000, 0.977, 0.013], [0.500, 0.192, 0.217]],
  "space_group": "Pm, No. 6",
  "delta_e_f_ev_per_fu": 1.07
}

No. 6
{
  "formula": "Li2CdMo",
  "functional": "PBE",
  "state": "optimized geometry",
  "cell": [[-0.982, 4.217, 2.685], [-2.897, 2.494, 3.368], [2.728, -1.317, 4.319]],
  "species": ["Cd", "Li", "Li", "Mo"],
  "frac_coords": [[0.253, 0.253, 0.261], [0.995, 0.995, 0.992], [0.748, 0.748, 0.754], [0.504, 0.504, 0.492]],
  "space_group": "Cm, No. 8",
  "delta_e_f_ev_per_fu": 1.52
}

No. 7
{
  "formula": "Li2CdMo",
  "functional": "PBE",
  "state": "optimized geometry",
  "cell": [[-2.604, -0.537, 0.083], [0.429, -2.750, -4.331], [0.934, -4.109, 2.701]],
  "species": ["Cd", "Li", "Li", "Mo"],
  "frac_coords": [[0.000, 0.500, 0.500], [0.000, 0.000, 0.000], [0.500, 0.500, 0.000], [0.500, 0.000, 0.500]],
  "space_group": "Pmmm, No. 47",
  "delta_e_f_ev_per_fu": 1.38
}

No. 8
{
  "formula": "LiCdMo2",
  "functional": "PBE",
  "state": "optimized geometry",
  "cell": [[4.783, 0.000, 0.000], [0.000, 2.687, 0.004], [0.000, 1.556, 5.093]],
  "species": ["Cd", "Li", "Mo", "Mo"],
  "frac_coords": [[0.500, 0.250, 0.250], [0.500, 0.750, 0.750], [0.000, 0.009, 0.984], [0.000, 0.491, 0.516]],
  "space_group": "P2/m, No. 10",
  "delta_e_f_ev_per_fu": 1.38
}

No. 9
{
  "formula": "Li2CdMo",
  "functional": "PBE",
  "state": "optimized geometry",
  "cell": [[-3.170, -3.474, 1.519], [2.174, -4.402, -0.559], [1.577, 4.130, 2.210]],
  "species": ["Cd", "Li", "Li", "Mo"],
  "frac_coords": [[0.750, 0.250, 0.500], [0.000, 0.000, 0.000], [0.500, 0.500, 0.000], [0.250, 0.750, 0.500]],
  "space_group": "I4/mmm, No. 139",
  "delta_e_f_ev_per_fu": 2.05
}

No. 10
{
  "formula": "LiCdMo2",
  "functional": "PBE",
  "state": "optimized geometry",
  "cell": [[-0.966, 2.162, -4.823], [-3.940, -1.637, 3.266], [-0.092, 2.443, 1.114]],
  "species": ["Cd", "Li", "Mo", "Mo"],
  "frac_coords": [[0.500, 0.000, 0.500], [0.000, 0.500, 0.500], [0.000, 0.000, 0.000], [0.500, 0.500, 0.000]],
  "space_group": "Cmmm, No. 65",
  "delta_e_f_ev_per_fu": 1.54
}

No. 11
{
  "formula": "LiCd2Mo",
  "functional": "PBE",
  "state": "optimized geometry",
  "cell": [[-1.880, 2.405, 6.064], [-3.422, -1.699, -3.551], [-0.872, -1.948, 1.775]],
  "species": ["Cd", "Cd", "Li", "Mo"],
  "frac_coords": [[0.000, 0.000, 0.000], [0.500, 0.000, 0.500], [0.000, 0.500, 0.500], [0.500, 0.500, 0.000]],
  "space_group": "Cmmm, No. 65",
  "e_above_lowest_polymorph_mev_per_atom": 53.8,
  "delta_e_f_ev_per_fu": 0.80
}

No. 12
{
  "formula": "LiCd2Mo",
  "functional": "PBE",
  "state": "optimized geometry",
  "cell": [[-2.014, 1.756, 0.837], [-1.724, -2.170, 0.402], [2.990, -0.751, 8.771]],
  "species": ["Cd", "Cd", "Li", "Mo"],
  "frac_coords": [[0.000, 0.000, 0.984], [0.500, 0.500, 0.268], [0.000, 0.000, 0.506], [0.500, 0.500, 0.742]],
  "space_group": "P4mm, No. 99",
  "e_above_lowest_polymorph_mev_per_atom": 121.3,
  "delta_e_f_ev_per_fu": 1.07
}

No. 13
{
  "formula": "Li2CdMo",
  "functional": "PBE",
  "state": "optimized geometry",
  "cell": [[4.853, 0.000, 0.000], [0.000, 2.591, -0.014], [0.000, 0.206, 5.391]],
  "species": ["Cd", "Li", "Li", "Mo"],
  "frac_coords": [[0.500, 0.750, 0.750], [0.000, 0.881, 0.029], [0.000, 0.619, 0.471], [0.500, 0.250, 0.250]],
  "space_group": "P2/m, No. 10",
  "delta_e_f_ev_per_fu": 1.19
}

No. 14
{
  "formula": "LiCdMo2",
  "functional": "PBE",
  "state": "optimized geometry",
  "cell": [[4.702, 0.000, 0.000], [0.000, 3.700, 0.000], [0.000, 0.000, 3.700]],
  "species": ["Cd", "Li", "Mo", "Mo"],
  "frac_coords": [[0.500, 0.500, 0.000], [0.500, 0.000, 0.500], [0.000, 0.000, 0.000], [0.000, 0.500, 0.500]],
  "space_group": "P4/mmm, No. 123",
  "delta_e_f_ev_per_fu": 1.21
}

No. 15
{
  "formula": "LiCd2Mo",
  "functional": "PBE",
  "state": "optimized geometry",
  "cell": [[-5.496, -0.814, 0.980], [-4.418, -3.333, 1.099], [-1.062, -0.211, 5.156]],
  "species": ["Cd", "Cd", "Li", "Mo"],
  "frac_coords": [[0.999, 0.999, 0.101], [0.747, 0.747, 0.656], [0.499, 0.499, 0.590], [0.254, 0.254, 0.152]],
  "space_group": "Cm, No. 8",
  "e_above_lowest_polymorph_mev_per_atom": 107.3,
  "delta_e_f_ev_per_fu": 1.01
}